{
  "formula": "PaFeO3",
  "functional": "GGA+U",
  "state": "optimized geometry",
  "e_tot_ev_per_cell": -170.11,
  "cell": [[5.914, 0.000, 0.000], [0.000, 6.918, 0.000], [-0.201, 0.000, 6.947]],
  "species": ["Pa", "Pa", "Pa", "Pa", "Fe", "Fe", "Fe", "Fe", "O", "O", "O", "O", "O", "O", "O", "O", "O", "O", "O", "O"],
  "frac_coords": [[0.171, 0.165, 0.328], [0.171, 0.335, 0.828], [0.829, 0.665, 0.172], [0.829, 0.835, 0.672], [0.369, 0.691, 0.429], [0.369, 0.809, 0.929], [0.631, 0.191, 0.071], [0.631, 0.309, 0.571], [0.049, 0.649, 0.870], [0.049, 0.851, 0.370], [0.253, 0.081, 0.020], [0.253, 0.419, 0.520], [0.460, 0.651, 0.158], [0.460, 0.849, 0.658], [0.540, 0.151, 0.342], [0.540, 0.349, 0.842], [0.747, 0.581, 0.480], [0.747, 0.919, 0.980], [0.951, 0.149, 0.630], [0.951, 0.351, 0.130]]
}